Entry 1:
HfSi2Mo2: relaxed, PBE-GGA.

Structure (CIF):
```
data_HfSi2Mo2
_chemical_formula_sum 'Hf2 Si4 Mo4'
_space_group_name_H-M_alt 'P 1'
_space_group_IT_number 1
_cell_length_a 6.919
_cell_length_b 6.919
_cell_length_c 3.251
_cell_angle_alpha 90.00
_cell_angle_beta 90.00
_cell_angle_gamma 90.00
loop_
_space_group_symop_operation_xyz
'x,y,z'
loop_
_atom_site_label
_atom_site_type_symbol
_atom_site_fract_x
_atom_site_fract_y
_atom_site_fract_z
Si1 Si 0.131 0.369 0.000
Si2 Si 0.869 0.631 0.000
Mo1 Mo 0.159 0.659 0.500
Si3 Si 0.369 0.869 0.000
Mo2 Mo 0.841 0.341 0.500
Mo3 Mo 0.659 0.841 0.500
Si4 Si 0.631 0.131 0.000
Mo4 Mo 0.341 0.159 0.500
Hf1 Hf 0.000 0.000 0.000
Hf2 Hf 0.500 0.500 0.000
```

Values from the calculation:
uncorrected energy = -0.6576 Ry/atom

---

Entry 2:
HfSi2Mo2: relaxed, PBE-GGA.

Structure (CIF):
```
data_HfSi2Mo2
_chemical_formula_sum 'Hf1 Si2 Mo2'
_space_group_name_H-M_alt 'P 1'
_space_group_IT_number 1
_cell_length_a 6.144
_cell_length_b 6.144
_cell_length_c 6.144
_cell_angle_alpha 143.35
_cell_angle_beta 143.35
_cell_angle_gamma 52.80
loop_
_space_group_symop_operation_xyz
'x,y,z'
loop_
_atom_site_label
_atom_site_type_symbol
_atom_site_fract_x
_atom_site_fract_y
_atom_site_fract_z
Si1 Si 0.397 0.397 0.000
Hf1 Hf 0.000 0.000 0.000
Mo1 Mo 0.250 0.750 0.500
Mo2 Mo 0.750 0.250 0.500
Si2 Si 0.603 0.603 0.000
```

Values from the calculation:
uncorrected energy = -0.6471 Ry/atom

---

Entry 3:
HfSiMo2: relaxed, PBE-GGA.

Structure (CIF):
```
data_HfSiMo2
_chemical_formula_sum 'Hf1 Si1 Mo2'
_space_group_name_H-M_alt 'P 1'
_space_group_IT_number 1
_cell_length_a 4.508
_cell_length_b 4.508
_cell_length_c 4.508
_cell_angle_alpha 60.00
_cell_angle_beta 60.00
_cell_angle_gamma 60.00
loop_
_space_group_symop_operation_xyz
'x,y,z'
loop_
_atom_site_label
_atom_site_type_symbol
_atom_site_fract_x
_atom_site_fract_y
_atom_site_fract_z
Si1 Si 0.500 0.500 0.500
Mo1 Mo 0.000 0.000 0.000
Mo2 Mo 0.750 0.750 0.750
Hf1 Hf 0.250 0.250 0.250
```

Values from the calculation:
uncorrected energy = -0.6874 Ry/atom